1.
# CsKAg2Br4 (PBE, relaxed)
# - formation energy without anion corrections (meV per atom) = -1043.1
data_CsKAg2Br4
_space_group_name_H-M_alt 'I 2 2 2'
_space_group_IT_number 23
_cell_length_a 8.033
_cell_length_b 8.486
_cell_length_c 9.026
_cell_angle_alpha 90.00
_cell_angle_beta 90.00
_cell_angle_gamma 90.00
loop_
_space_group_symop_operation_xyz
'x,y,z'
'-x,-y,z'
'x,-y,-z'
'-x,y,-z'
'x+1/2,y+1/2,z+1/2'
'-x+1/2,-y+1/2,z+1/2'
'x+1/2,-y+1/2,-z+1/2'
'-x+1/2,y+1/2,-z+1/2'
loop_
_atom_site_label
_atom_site_type_symbol
_atom_site_fract_x
_atom_site_fract_y
_atom_site_fract_z
Cs1 Cs 0.000 0.000 0.000
K1 K 0.000 0.000 0.500
Ag1 Ag 0.000 0.500 0.175
Br1 Br 0.232 0.304 0.798


2.
# BaPt (PBE, relaxed)
# - formation enthalpy at 0 K (eV/atom) = -0.415
data_BaPt
_space_group_name_H-M_alt 'C 1 m 1'
_space_group_IT_number 8
_cell_length_a 12.396
_cell_length_b 4.181
_cell_length_c 7.467
_cell_angle_alpha 90.00
_cell_angle_beta 111.86
_cell_angle_gamma 90.00
loop_
_space_group_symop_operation_xyz
'x,y,z'
'x,-y,z'
'x+1/2,y+1/2,z'
'x+1/2,-y+1/2,z'
loop_
_atom_site_label
_atom_site_type_symbol
_atom_site_fract_x
_atom_site_fract_y
_atom_site_fract_z
Ba1 Ba 0.000 0.000 0.000
Ba2 Ba 0.054 0.000 0.582
Ba3 Ba 0.298 0.000 0.221
Pt1 Pt 0.200 0.500 0.447
Pt2 Pt 0.233 0.500 0.855
Pt3 Pt 0.332 0.000 0.689


3.
# ScTa2Cd (PBE, relaxed)
# - formation enthalpy at 0 K (eV/atom) = 0.176
data_ScTa2Cd
_space_group_name_H-M_alt 'I 4/m m m'
_space_group_IT_number 139
_space_group_name_Hall '-I 4 2'
_cell_length_a 4.115
_cell_length_b 4.115
_cell_length_c 9.267
_cell_angle_alpha 90.00
_cell_angle_beta 90.00
_cell_angle_gamma 90.00
loop_
_atom_site_label
_atom_site_type_symbol
_atom_site_fract_x
_atom_site_fract_y
_atom_site_fract_z
Sc1 Sc 0.000 0.000 0.000
Ta1 Ta 0.000 0.500 0.250
Cd1 Cd 0.000 0.000 0.500


4.
# LaCuRe (PBE, relaxed)
# - formation enthalpy at 0 K (eV/atom) = 0.451
data_LaCuRe
_space_group_name_H-M_alt 'P -6 m 2'
_space_group_IT_number 187
_space_group_name_Hall 'P -6 2'
_cell_length_a 4.2414
_cell_length_b 4.2414
_cell_length_c 4.1974
_cell_angle_alpha 90.00
_cell_angle_beta 90.00
_cell_angle_gamma 120.00
loop_
_atom_site_label
_atom_site_type_symbol
_atom_site_fract_x
_atom_site_fract_y
_atom_site_fract_z
La1 La 0.0000 0.0000 0.0000
Cu1 Cu 0.6667 0.3333 0.5000
Re1 Re 0.3333 0.6667 0.5000


5.
# GaHgRu2I (PBE, relaxed)
# - formation energy without anion corrections (meV per atom) = 1310.7
data_GaHgRu2I
_space_group_name_H-M_alt 'P 4/m m m'
_space_group_IT_number 123
_space_group_name_Hall '-P 4 2'
_cell_length_a 4.780
_cell_length_b 4.780
_cell_length_c 5.561
_cell_angle_alpha 90.00
_cell_angle_beta 90.00
_cell_angle_gamma 90.00
loop_
_atom_site_label
_atom_site_type_symbol
_atom_site_fract_x
_atom_site_fract_y
_atom_site_fract_z
Ga1 Ga 0.000 0.000 0.000
Hg1 Hg 0.500 0.500 0.500
Ru1 Ru 0.000 0.500 0.000
I1 I 0.000 0.000 0.500


6.
# In2RhCl (PBE, relaxed)
# - formation energy without anion corrections (meV per atom) = 162.7
data_In2RhCl
_space_group_name_H-M_alt 'F -4 3 m'
_space_group_IT_number 216
_space_group_name_Hall 'F -4 2 3'
_cell_length_a 6.958
_cell_length_b 6.958
_cell_length_c 6.958
_cell_angle_alpha 90.00
_cell_angle_beta 90.00
_cell_angle_gamma 90.00
loop_
_atom_site_label
_atom_site_type_symbol
_atom_site_fract_x
_atom_site_fract_y
_atom_site_fract_z
In1 In 0.000 0.000 0.000
In2 In 0.250 0.250 0.250
Rh1 Rh 0.000 0.000 0.500
Cl1 Cl 0.250 0.250 0.750


7.
# Tb4Pr6Er (PBE, relaxed)
# - formation enthalpy at 0 K (eV/atom) = 0.289
data_Tb4Pr6Er
_space_group_name_H-M_alt 'I -4 2 m'
_space_group_IT_number 121
_space_group_name_Hall 'I -4 2'
_cell_length_a 6.858
_cell_length_b 6.858
_cell_length_c 16.504
_cell_angle_alpha 90.00
_cell_angle_beta 90.00
_cell_angle_gamma 90.00
loop_
_atom_site_label
_atom_site_type_symbol
_atom_site_fract_x
_atom_site_fract_y
_atom_site_fract_z
Tb1 Tb 0.175 0.175 0.387
Pr1 Pr 0.000 0.500 0.000
Pr2 Pr 0.192 0.192 0.178
Er1 Er 0.000 0.000 0.000


8.
# YEr2Tl4 (PBE, relaxed)
# - formation enthalpy at 0 K (eV/atom) = -0.224
data_YEr2Tl4
_space_group_name_H-M_alt 'I 4/m m m'
_space_group_IT_number 139
_space_group_name_Hall '-I 4 2'
_cell_length_a 7.477
_cell_length_b 7.477
_cell_length_c 7.404
_cell_angle_alpha 90.00
_cell_angle_beta 90.00
_cell_angle_gamma 90.00
loop_
_atom_site_label
_atom_site_type_symbol
_atom_site_fract_x
_atom_site_fract_y
_atom_site_fract_z
Y1 Y 0.000 0.000 0.000
Er1 Er 0.000 0.500 0.000
Tl1 Tl 0.250 0.250 0.250


9.
# Cr2GaSe (PBE, relaxed)
# - formation energy without anion corrections (meV per atom) = 319.7
data_Cr2GaSe
_space_group_name_H-M_alt 'F m -3 m'
_space_group_IT_number 225
_space_group_name_Hall '-F 4 2 3'
_cell_length_a 6.061
_cell_length_b 6.061
_cell_length_c 6.061
_cell_angle_alpha 90.00
_cell_angle_beta 90.00
_cell_angle_gamma 90.00
loop_
_atom_site_label
_atom_site_type_symbol
_atom_site_fract_x
_atom_site_fract_y
_atom_site_fract_z
Cr1 Cr 0.250 0.250 0.250
Ga1 Ga 0.000 0.000 0.000
Se1 Se 0.000 0.000 0.500


10.
# TcRh2Se (PBE, relaxed)
# - formation energy without anion corrections (meV per atom) = 300.6
data_TcRh2Se
_space_group_name_H-M_alt 'P 4/m m m'
_space_group_IT_number 123
_space_group_name_Hall '-P 4 2'
_cell_length_a 4.659
_cell_length_b 4.659
_cell_length_c 2.803
_cell_angle_alpha 90.00
_cell_angle_beta 90.00
_cell_angle_gamma 90.00
loop_
_atom_site_label
_atom_site_type_symbol
_atom_site_fract_x
_atom_site_fract_y
_atom_site_fract_z
Tc1 Tc 0.000 0.000 0.000
Rh1 Rh 0.000 0.500 0.500
Se1 Se 0.500 0.500 0.000


11.
# LiMo4As (PBE, relaxed)
# - formation enthalpy at 0 K (eV/atom) = 0.590
data_LiMo4As
_space_group_name_H-M_alt 'F -4 3 m'
_space_group_IT_number 216
_space_group_name_Hall 'F -4 2 3'
_cell_length_a 7.425
_cell_length_b 7.425
_cell_length_c 7.425
_cell_angle_alpha 90.00
_cell_angle_beta 90.00
_cell_angle_gamma 90.00
loop_
_atom_site_label
_atom_site_type_symbol
_atom_site_fract_x
_atom_site_fract_y
_atom_site_fract_z
Li1 Li 0.000 0.000 0.000
Mo1 Mo 0.127 0.127 0.373
As1 As 0.250 0.250 0.750


12.
# CaSbIr2 (PBE, relaxed)
# - formation energy without anion corrections (meV per atom) = 2.6
data_CaSbIr2
_space_group_name_H-M_alt 'P 4 m m'
_space_group_IT_number 99
_cell_length_a 3.223
_cell_length_b 3.223
_cell_length_c 7.756
_cell_angle_alpha 90.00
_cell_angle_beta 90.00
_cell_angle_gamma 90.00
loop_
_space_group_symop_operation_xyz
'x,y,z'
'-y,x,z'
'-x,-y,z'
'y,-x,z'
'-x,y,z'
'y,x,z'
'x,-y,z'
'-y,-x,z'
loop_
_atom_site_label
_atom_site_type_symbol
_atom_site_fract_x
_atom_site_fract_y
_atom_site_fract_z
Ca1 Ca 0.000 0.000 0.000
Sb1 Sb 0.500 0.500 0.650
Ir1 Ir 0.000 0.000 0.459
Ir2 Ir 0.500 0.500 0.246


13.
# KTi (PBE, relaxed)
# - formation enthalpy at 0 K (eV/atom) = 2.194
data_KTi
_space_group_name_H-M_alt 'P m -3 n'
_space_group_IT_number 223
_space_group_name_Hall '-P 4n 2 3'
_cell_length_a 10.559
_cell_length_b 10.559
_cell_length_c 10.559
_cell_angle_alpha 90.00
_cell_angle_beta 90.00
_cell_angle_gamma 90.00
loop_
_atom_site_label
_atom_site_type_symbol
_atom_site_fract_x
_atom_site_fract_y
_atom_site_fract_z
K1 K 0.000 0.250 0.500
Ti1 Ti 0.000 0.500 0.250


14.
# Ac9La2Pm (PBE, relaxed)
# - formation enthalpy at 0 K (eV/atom) = 0.018
data_Ac9La2Pm
_space_group_name_H-M_alt 'P 4/m m m'
_space_group_IT_number 123
_space_group_name_Hall '-P 4 2'
_cell_length_a 5.547
_cell_length_b 5.547
_cell_length_c 16.641
_cell_angle_alpha 90.00
_cell_angle_beta 90.00
_cell_angle_gamma 90.00
loop_
_atom_site_label
_atom_site_type_symbol
_atom_site_fract_x
_atom_site_fract_y
_atom_site_fract_z
Ac1 Ac 0.000 0.000 0.000
Ac2 Ac 0.000 0.000 0.332
Ac3 Ac 0.000 0.500 0.165
Ac4 Ac 0.000 0.500 0.500
La1 La 0.500 0.500 0.333
Pm1 Pm 0.500 0.500 0.000


| no. | DOS(E_F) (states/eV/cell) |
| --- | --- |
| 1 | 0.0 |
| 2 | 4.5 |
| 3 | 6.7 |
| 4 | 4.0 |
| 5 | 5.4 |
| 6 | 5.7 |
| 7 | 31.1 |
| 8 | 11.5 |
| 9 | 23.8 |
| 10 | 3.8 |
| 11 | 22.8 |
| 12 | 3.2 |
| 13 | 37.1 |
| 14 | 21.7 |